# 1
# Np3HS6 | Alexandria | GGA-PBE | optimized geometry
# * DOS at the Fermi energy: 23.7 states/eV/f.u.
# * final energy: -312.89 eV per cell
data_Np3HS6
_symmetry_space_group_name_H-M 'C m c 21'
_symmetry_Int_Tables_number 36
_cell_length_a 10.456
_cell_length_b 12.781
_cell_length_c 6.510
_cell_angle_alpha 90.00
_cell_angle_beta 90.00
_cell_angle_gamma 90.00
loop_
_symmetry_equiv_pos_as_xyz
'x,y,z'
'-x,-y,z+1/2'
'-x,y,z'
'x,-y,z+1/2'
'x+1/2,y+1/2,z'
'-x+1/2,-y+1/2,z+1/2'
'-x+1/2,y+1/2,z'
'x+1/2,-y+1/2,z+1/2'
loop_
_atom_site_label
_atom_site_fract_x
_atom_site_fract_y
_atom_site_fract_z
Np1 0.000 0.101 0.000
Np2 0.181 0.399 0.888
H1 0.000 0.259 0.515
S1 0.000 0.265 0.724
S2 0.000 0.484 0.139
S3 0.162 0.036 0.695
S4 0.173 0.231 0.160

# 2
# NpHS3 | Alexandria | GGA-PBE | optimized geometry
# * DOS at the Fermi energy: 8.2 states/eV/f.u.
# * final energy: -64.22 eV per cell
data_NpHS3
_symmetry_space_group_name_H-M 'P -1'
_symmetry_Int_Tables_number 2
_cell_length_a 6.871
_cell_length_b 6.915
_cell_length_c 7.635
_cell_angle_alpha 64.77
_cell_angle_beta 63.55
_cell_angle_gamma 60.44
loop_
_symmetry_equiv_pos_as_xyz
'x,y,z'
'-x,-y,-z'
loop_
_atom_site_label
_atom_site_fract_x
_atom_site_fract_y
_atom_site_fract_z
Np1 0.174 0.152 0.000
H1 0.381 0.560 0.810
S1 0.057 0.799 0.206
S2 0.210 0.574 0.756
S3 0.420 0.078 0.206

# 3
# NpHS2 | Alexandria | GGA-PBE | optimized geometry
# * relative energy among the computed polymorphs: 17 meV per atom
# * DOS at the Fermi energy: 7.6 states/eV/f.u.
data_NpHS2
_symmetry_space_group_name_H-M 'R -3 m'
_symmetry_Int_Tables_number 166
_symmetry_space_group_name_Hall '-R 3 2"'
_cell_length_a 4.1188
_cell_length_b 4.1188
_cell_length_c 18.2352
_cell_angle_alpha 90.00
_cell_angle_beta 90.00
_cell_angle_gamma 120.00
loop_
_atom_site_label
_atom_site_fract_x
_atom_site_fract_y
_atom_site_fract_z
Np1 0.0000 0.0000 0.0000
H1 0.0000 0.0000 0.5000
S1 0.0000 0.0000 0.4104

# 4
# NpHS2 | Alexandria | GGA-PBE | optimized geometry
# * relative energy among the computed polymorphs: 87 meV per atom
# * DOS at the Fermi energy: 7.2 states/eV/f.u.
data_NpHS2
_symmetry_space_group_name_H-M 'P 1 21/m 1'
_symmetry_Int_Tables_number 11
_cell_length_a 5.351
_cell_length_b 3.762
_cell_length_c 6.886
_cell_angle_alpha 90.00
_cell_angle_beta 109.51
_cell_angle_gamma 90.00
loop_
_symmetry_equiv_pos_as_xyz
'x,y,z'
'-x,-y,-z'
'-x,y+1/2,-z'
'x,-y+1/2,z'
loop_
_atom_site_label
_atom_site_fract_x
_atom_site_fract_y
_atom_site_fract_z
Np1 0.138 0.250 0.282
H1 0.061 0.250 0.756
S1 0.275 0.750 0.064
S2 0.297 0.750 0.586

# 5
# Np2HS3 | Alexandria | GGA-PBE | optimized geometry
# * DOS at the Fermi energy: 13.8 states/eV/f.u.
# * final energy: -196.47 eV per cell
data_Np2HS3
_symmetry_space_group_name_H-M 'P n m a'
_symmetry_Int_Tables_number 62
_cell_length_a 10.427
_cell_length_b 3.794
_cell_length_c 10.620
_cell_angle_alpha 90.00
_cell_angle_beta 90.00
_cell_angle_gamma 90.00
loop_
_symmetry_equiv_pos_as_xyz
'x,y,z'
'-x,-y,-z'
'-x+1/2,-y,z+1/2'
'x+1/2,y,-z+1/2'
'x+1/2,-y+1/2,-z+1/2'
'-x+1/2,y+1/2,z+1/2'
'-x,y+1/2,-z'
'x,-y+1/2,z'
loop_
_atom_site_label
_atom_site_fract_x
_atom_site_fract_y
_atom_site_fract_z
Np1 0.024 0.250 0.180
Np2 0.191 0.250 0.518
H1 0.124 0.750 0.128
S1 0.056 0.750 0.374
S2 0.126 0.250 0.942
S3 0.213 0.750 0.703

# 6
# Np2H2SeS2 | Alexandria | GGA-PBE | optimized geometry
# * DOS at the Fermi energy: 16.2 states/eV/f.u.
# * final energy: -151.64 eV per cell
data_Np2H2SeS2
_symmetry_space_group_name_H-M 'R -3 m'
_symmetry_Int_Tables_number 166
_symmetry_space_group_name_Hall '-R 3 2"'
_cell_length_a 3.8214
_cell_length_b 3.8214
_cell_length_c 31.4361
_cell_angle_alpha 90.00
_cell_angle_beta 90.00
_cell_angle_gamma 120.00
loop_
_atom_site_label
_atom_site_fract_x
_atom_site_fract_y
_atom_site_fract_z
Np1 0.0000 0.0000 0.2302
H1 0.0000 0.0000 0.1069
Se1 0.0000 0.0000 0.5000
S1 0.0000 0.0000 0.3885

# 7
# Np2H2SeS | Alexandria | GGA-PBE | optimized geometry
# * DOS at the Fermi energy: 16.6 states/eV/f.u.
# * final energy: -45.90 eV per cell
data_Np2H2SeS
_symmetry_space_group_name_H-M 'P -3 m 1'
_symmetry_Int_Tables_number 164
_symmetry_space_group_name_Hall '-P 3 2"'
_cell_length_a 3.8544
_cell_length_b 3.8544
_cell_length_c 7.4351
_cell_angle_alpha 90.00
_cell_angle_beta 90.00
_cell_angle_gamma 120.00
loop_
_atom_site_label
_atom_site_fract_x
_atom_site_fract_y
_atom_site_fract_z
Np1 0.3333 0.6667 0.2372
H1 0.3333 0.6667 0.7579
Se1 0.0000 0.0000 0.5000
S1 0.0000 0.0000 0.0000

# 8
# NpTeHS | Alexandria | GGA-PBE | optimized geometry
# * DOS at the Fermi energy: 6.0 states/eV/f.u.
# * final energy: -52.10 eV per cell
data_NpTeHS
_symmetry_space_group_name_H-M 'C 1 m 1'
_symmetry_Int_Tables_number 8
_cell_length_a 6.588
_cell_length_b 3.803
_cell_length_c 7.471
_cell_angle_alpha 90.00
_cell_angle_beta 107.18
_cell_angle_gamma 90.00
loop_
_symmetry_equiv_pos_as_xyz
'x,y,z'
'x,-y,z'
'x+1/2,y+1/2,z'
'x+1/2,-y+1/2,z'
loop_
_atom_site_label
_atom_site_fract_x
_atom_site_fract_y
_atom_site_fract_z
Np1 0.000 0.000 0.000
Te1 0.231 0.000 0.696
H1 0.158 0.500 0.974
S1 0.405 0.000 0.213

# 9
# NpTlHS3 | Alexandria | GGA-PBE | optimized geometry
# * DOS at the Fermi energy: 7.0 states/eV/f.u.
# * final energy: -69.33 eV per cell
data_NpTlHS3
_symmetry_space_group_name_H-M 'P 1 21/m 1'
_symmetry_Int_Tables_number 11
_cell_length_a 8.879
_cell_length_b 3.664
_cell_length_c 9.245
_cell_angle_alpha 90.00
_cell_angle_beta 104.63
_cell_angle_gamma 90.00
loop_
_symmetry_equiv_pos_as_xyz
'x,y,z'
'-x,-y,-z'
'-x,y+1/2,-z'
'x,-y+1/2,z'
loop_
_atom_site_label
_atom_site_fract_x
_atom_site_fract_y
_atom_site_fract_z
Np1 0.172 0.250 0.157
Tl1 0.325 0.750 0.762
H1 0.254 0.750 0.420
S1 0.052 0.250 0.857
S2 0.262 0.250 0.446
S3 0.370 0.750 0.120

# 10
# NpTl2HS4 | Alexandria | GGA-PBE | optimized geometry
# * DOS at the Fermi energy: 6.1 states/eV/f.u.
# * final energy: -39.71 eV per cell
data_NpTl2HS4
_symmetry_space_group_name_H-M 'P 1 2/m 1'
_symmetry_Int_Tables_number 10
_cell_length_a 6.923
_cell_length_b 3.830
_cell_length_c 7.845
_cell_angle_alpha 90.00
_cell_angle_beta 110.73
_cell_angle_gamma 90.00
loop_
_symmetry_equiv_pos_as_xyz
'x,y,z'
'-x,-y,-z'
'-x,y,-z'
'x,-y,z'
loop_
_atom_site_label
_atom_site_fract_x
_atom_site_fract_y
_atom_site_fract_z
Np1 0.000 0.000 0.000
Tl1 0.000 0.500 0.500
Tl2 0.500 0.000 0.500
H1 0.500 0.500 0.000
S1 0.205 0.500 0.214
S2 0.275 0.000 0.849

# 11
# Np2SbH2 | Alexandria | GGA-PBE | optimized geometry
# * relative energy among the computed polymorphs: 0 meV per atom
# * DOS at the Fermi energy: 10.2 states/eV/f.u.
data_Np2SbH2
_symmetry_space_group_name_H-M 'I 4/m m m'
_symmetry_Int_Tables_number 139
_symmetry_space_group_name_Hall '-I 4 2'
_cell_length_a 4.111
_cell_length_b 4.111
_cell_length_c 9.701
_cell_angle_alpha 90.00
_cell_angle_beta 90.00
_cell_angle_gamma 90.00
loop_
_atom_site_label
_atom_site_fract_x
_atom_site_fract_y
_atom_site_fract_z
Np1 0.000 0.000 0.154
Sb1 0.000 0.000 0.500
H1 0.000 0.500 0.250

# 12
# Np2SbH2 | Alexandria | GGA-PBE | optimized geometry
# * relative energy among the computed polymorphs: 20 meV per atom
# * DOS at the Fermi energy: 10.7 states/eV/f.u.
data_Np2SbH2
_symmetry_space_group_name_H-M 'F d d d'
_symmetry_Int_Tables_number 70
_cell_length_a 5.697
_cell_length_b 9.966
_cell_length_c 11.777
_cell_angle_alpha 90.00
_cell_angle_beta 90.00
_cell_angle_gamma 90.00
loop_
_symmetry_equiv_pos_as_xyz
'x,y,z'
'-x,-y,-z'
'-x+1/4,-y+1/4,z'
'x+1/4,y+1/4,-z'
'x,-y+1/4,-z+1/4'
'-x,y+1/4,z+1/4'
'-x+1/4,y,-z+1/4'
'x+1/4,-y,z+1/4'
'x,y+1/2,z+1/2'
'-x,-y+1/2,-z+1/2'
'-x+1/4,-y+3/4,z+1/2'
'x+1/4,y+3/4,-z+1/2'
'x,-y+3/4,-z+3/4'
'-x,y+3/4,z+3/4'
'-x+1/4,y+1/2,-z+3/4'
'x+1/4,-y+1/2,z+3/4'
'x+1/2,y,z+1/2'
'-x+1/2,-y,-z+1/2'
'-x+3/4,-y+1/4,z+1/2'
'x+3/4,y+1/4,-z+1/2'
'x+1/2,-y+1/4,-z+3/4'
'-x+1/2,y+1/4,z+3/4'
'-x+3/4,y,-z+3/4'
'x+3/4,-y,z+3/4'
'x+1/2,y+1/2,z'
'-x+1/2,-y+1/2,-z'
'-x+3/4,-y+3/4,z'
'x+3/4,y+3/4,-z'
'x+1/2,-y+3/4,-z+1/4'
'-x+1/2,y+3/4,z+1/4'
'-x+3/4,y+1/2,-z+1/4'
'x+3/4,-y+1/2,z+1/4'
loop_
_atom_site_label
_atom_site_fract_x
_atom_site_fract_y
_atom_site_fract_z
Np1 0.125 0.301 0.125
Sb1 0.125 0.125 0.625
H1 0.125 0.125 0.008

> What is the DOS at the Fermi energy in the second record?

8.2 states/eV/f.u.

> What is the DOS at the Fermi energy in the seventh record?

16.6 states/eV/f.u.

> Which of these has the lowest DOS at the Fermi energy?

NpTeHS

Repeat the sixth record exactly.
# Np2H2SeS2 | Alexandria | GGA-PBE | optimized geometry
# * DOS at the Fermi energy: 16.2 states/eV/f.u.
# * final energy: -151.64 eV per cell
data_Np2H2SeS2
_symmetry_space_group_name_H-M 'R -3 m'
_symmetry_Int_Tables_number 166
_symmetry_space_group_name_Hall '-R 3 2"'
_cell_length_a 3.8214
_cell_length_b 3.8214
_cell_length_c 31.4361
_cell_angle_alpha 90.00
_cell_angle_beta 90.00
_cell_angle_gamma 120.00
loop_
_atom_site_label
_atom_site_fract_x
_atom_site_fract_y
_atom_site_fract_z
Np1 0.0000 0.0000 0.2302
H1 0.0000 0.0000 0.1069
Se1 0.0000 0.0000 0.5000
S1 0.0000 0.0000 0.3885